No. 1
The following is a DFT calculation (PBE) of a relaxed TbBi3 crystal.

Results
- Space-group type: Immm
- Electronic total energy: -4.430 eV per atom

abc: 4.6301 4.6949 6.4941
angles: 111.19 110.88 90.00
Positions (direct):
1 Tb 0.0000 0.9166 0.0000
2 Bi 0.7517 0.1686 0.5034
3 Bi 0.5000 0.4163 0.0000
4 Bi 0.2483 0.6652 0.4966

=====

No. 2
The following is a DFT calculation (PBE) of a relaxed Sr2Cd4Ga3Pb crystal.

Results
- Space-group type: P-4m2
- Electronic total energy: -2.258 eV per atom

abc: 4.6922 4.6922 11.8927
angles: 90.00 90.00 90.00
Positions (direct):
1 Cd 0.0000 0.5000 0.3491
2 Ga 0.0000 0.0000 0.5000
3 Pb 0.5000 0.5000 0.5000
4 Sr 0.5000 0.0000 0.2359
5 Sr 0.0000 0.5000 0.7641
6 Ga 0.5000 0.0000 0.8718
7 Cd 0.5000 0.5000 0.0000
8 Cd 0.5000 0.0000 0.6509
9 Cd 0.0000 0.0000 0.0000
10 Ga 0.0000 0.5000 0.1282

=====

No. 3
The following is a DFT calculation (PBE) of a relaxed YMnAs2Se crystal.

Results
- Offset from the most stable computed form: 1.369 eV per atom
- Space-group type: P4/mmm

abc: 5.3675 5.3675 5.2879
angles: 90.00 90.00 90.00
Positions (direct):
1 As 0.5000 0.0000 0.0000
2 Mn 0.5000 0.5000 0.5000
3 Y 0.0000 0.0000 0.0000
4 As 0.0000 0.5000 0.0000
5 Se 0.0000 0.0000 0.5000

=====

No. 4
The following is a DFT calculation (PBE) of a relaxed Tm4In2Ga crystal.

Results
- Offset from the most stable computed form: 0.097 eV per atom
- Space-group type: P2/m

abc: 3.6146 7.9637 7.5255
angles: 118.08 90.00 90.00
Positions (direct):
1 In 0.5000 0.7932 0.2185
2 Tm 0.0000 0.6168 0.8121
3 Tm 0.5000 0.9139 0.6986
4 Tm 0.5000 0.2289 0.4444
5 Ga 0.0000 0.0714 0.0715
6 Tm 0.0000 0.5260 0.3307
7 In 0.5000 0.3496 0.9242

=====

No. 5
The following is a DFT calculation (PBE) of a relaxed Tb3Pm4Y2 crystal.

Results
- Offset from the most stable computed form: 0.000 eV per atom
- Space-group type: C2/m

abc: 3.6018 8.8398 9.5324
angles: 89.96 100.89 90.00
Positions (direct):
1 Pm 0.5552 0.3314 0.1105
2 Pm 0.7771 0.6679 0.5542
3 Tb 0.8893 0.3319 0.7786
4 Y 0.3338 0.0009 0.6676
5 Tb 0.1107 0.6681 0.2214
6 Pm 0.2229 0.3321 0.4458
7 Tb 0.0000 0.0000 0.0000
8 Y 0.6662 0.9991 0.3324
9 Pm 0.4448 0.6686 0.8895

=====

No. 6
The following is a DFT calculation (PBE) of a relaxed PmSm2TmAs4 crystal.

Results
- Space-group type: P2/m
- Electronic total energy: -6.171 eV per atom

abc: 4.1871 7.2462 7.2452
angles: 70.53 90.00 90.00
Positions (direct):
1 As 0.5000 0.2558 0.7433
2 Tm 0.0000 0.5000 0.5000
3 Pm 0.5000 0.5000 0.0000
4 As 0.0000 0.2522 0.2541
5 As 0.0000 0.7478 0.7459
6 Sm 0.0000 0.0000 0.0000
7 Sm 0.5000 0.0000 0.5000
8 As 0.5000 0.7442 0.2567

=====

No. 7
The following is a DFT calculation (PBE) of a relaxed Ho2TmPu crystal.

Results
- Offset from the most stable computed form: 0.169 eV per atom
- Space-group type: R-3m

abc: 3.4142 3.4142 12.2748
angles: 82.01 82.01 60.00
Positions (direct):
1 Tm 0.5000 0.5000 0.5000
2 Pu 0.0000 0.0000 0.0000
3 Ho 0.9107 0.9107 0.2679
4 Ho 0.0893 0.0893 0.7321

=====

No. 8
The following is a DFT calculation (PBE) of a relaxed CsTlPb crystal.

Results
- Space-group type: Immm
- Electronic total energy: -2.471 eV per atom

abc: 4.6202 8.3251 8.5828
angles: 119.00 105.61 89.99
Positions (direct):
1 Pb 0.3304 0.7030 0.2902
2 Pb 0.1141 0.4866 0.8570
3 Cs 0.3874 0.2599 0.4041
4 Cs 0.0571 0.9296 0.7432
5 Tl 0.7223 0.8053 0.0738
6 Tl 0.7222 0.3843 0.0735

=====

No. 9
The following is a DFT calculation (PBE) of a relaxed NaPbF crystal.

Results
- Space-group type: P3m1
- Electronic total energy: -3.760 eV per atom

abc: 3.4690 3.4690 6.8836
angles: 90.00 90.00 120.00
Positions (direct):
1 Pb 0.0000 0.0000 0.9595
2 F 0.3333 0.6667 0.5743
3 Na 0.6667 0.3333 0.4662

=====

No. 10
The following is a DFT calculation (PBE) of a relaxed KLaSc4 crystal.

Results
- Space-group type: F-43m
- Electronic total energy: -4.738 eV per atom

abc: 6.5199 6.5199 6.5199
angles: 60.00 60.00 60.00
Positions (direct):
1 K 0.7500 0.7500 0.7500
2 Sc 0.3714 0.3714 0.8857
3 Sc 0.3714 0.8857 0.3714
4 La 0.0000 0.0000 0.0000
5 Sc 0.8857 0.3714 0.3714
6 Sc 0.3714 0.3714 0.3714

=====

No. 11
The following is a DFT calculation (PBE) of a relaxed ZrBe2V2 crystal.

Results
- Offset from the most stable computed form: 0.216 eV per atom
- Space-group type: I4/mmm

abc: 3.8559 3.8559 5.4285
angles: 69.20 69.20 90.00
Positions (direct):
1 V 0.3788 0.3788 0.2423
2 Zr 0.0000 0.0000 0.0000
3 Be 0.2500 0.7500 0.5000
4 V 0.6212 0.6212 0.7577
5 Be 0.7500 0.2500 0.5000

=====

No. 12
The following is a DFT calculation (PBE) of a relaxed MgCo2Ni crystal.

Results
- Space-group type: Cmmm
- Electronic total energy: -5.238 eV per atom

abc: 4.5823 4.5823 2.5581
angles: 90.00 90.00 113.81
Positions (direct):
1 Co 0.0000 0.0000 0.0000
2 Ni 0.0000 0.5000 0.5000
3 Mg 0.5000 0.0000 0.5000
4 Co 0.5000 0.5000 0.0000